First-principles (PBE-GGA) data for crystalline Er6Sc2Zn at its relaxed geometry, as listed in Alexandria.

a = 9.800 Å, b = 9.811 Å, c = 5.171 Å
α = 90.00°, β = 90.00°, γ = 90.00°
Space group Pnnm (No. 58)
Symmetry-distinct sites (fractional):
Er: 0.040 0.187 0.000 (multiplicity 4)
Er: 0.122 0.621 0.500 (multiplicity 4)
Er: 0.187 0.959 0.500 (multiplicity 4)
Sc: 0.212 0.287 0.500 (multiplicity 4)
Zn: 0.000 0.500 0.000 (multiplicity 2)

Crystal system ... orthorhombic
Total energy ... -4.59 eV per atom
Formation energy ... 0.0 eV per formula unit

=====

First-principles (PBE-GGA) data for crystalline Ag2SBr at its relaxed geometry, as listed in Alexandria.

a = 3.9809 Å, b = 3.9809 Å, c = 22.6858 Å
α = 90.00°, β = 90.00°, γ = 120.00°
Space group R-3m (No. 166, hexagonal axes)
Symmetry-distinct sites (fractional):
Ag: 0.0000 0.0000 0.1137 (multiplicity 6)
S: 0.0000 0.0000 0.5000 (multiplicity 3)
Br: 0.0000 0.0000 0.0000 (multiplicity 3)

Offset from the most stable computed form ... 95 meV/atom
Crystal system ... trigonal
Total energy ... -2.85 eV per atom
ΔE_f (raw) ... 0.0224 eV/atom

=====

First-principles (PBE-GGA) data for crystalline Ce3B2C3 at its relaxed geometry, as listed in Alexandria.

a = 2.925 Å, b = 10.227 Å, c = 14.463 Å
α = 90.00°, β = 90.00°, γ = 90.00°
Space group Cmcm (No. 63)
Symmetry-distinct sites (fractional):
Ce: 0.000 0.117 0.100 (multiplicity 8)
Ce: 0.000 0.358 0.250 (multiplicity 4)
B: 0.000 0.148 0.590 (multiplicity 8)
C: 0.000 0.382 0.067 (multiplicity 8)
C: 0.000 0.383 0.750 (multiplicity 4)

Crystal system ... orthorhombic
Total energy ... -7.49 eV per atom
Formation energy ... -1.1 eV per formula unit

=====

First-principles (PBE-GGA) data for crystalline SrMnOs2 at its relaxed geometry, as listed in Alexandria.

a = 6.424 Å, b = 6.424 Å, c = 6.424 Å
α = 90.00°, β = 90.00°, γ = 90.00°
Space group Fm-3m (No. 225)
Symmetry-distinct sites (fractional):
Sr: 0.000 0.000 0.000 (multiplicity 4)
Mn: 0.000 0.000 0.500 (multiplicity 4)
Os: 0.250 0.250 0.250 (multiplicity 8)

Offset from the most stable computed form ... 1054 meV/atom
Crystal system ... cubic
Total energy ... -7.00 eV per atom
Formation energy ... 5.3 eV per formula unit

=====

First-principles (PBE-GGA) data for crystalline SiRu2Cl at its relaxed geometry, as listed in Alexandria.

a = 7.077 Å, b = 2.910 Å, c = 7.281 Å
α = 90.00°, β = 115.02°, γ = 90.00°
Space group C2/m (No. 12)
Symmetry-distinct sites (fractional):
Si: 0.000 0.000 0.000 (multiplicity 2)
Ru: 0.138 0.500 0.822 (multiplicity 4)
Cl: 0.000 0.000 0.500 (multiplicity 2)

Offset from the most stable computed form ... 0 meV/atom
Crystal system ... monoclinic
Total energy ... -6.52 eV per atom
ΔE_f (raw) ... -0.0617 eV/atom

=====

First-principles (PBE-GGA) data for crystalline CaLa2Cu at its relaxed geometry, as listed in Alexandria.

a = 3.8528 Å, b = 3.8528 Å, c = 30.6053 Å
α = 90.00°, β = 90.00°, γ = 120.00°
Space group R3m (No. 160, hexagonal axes)
Symmetry-distinct sites (fractional):
Ca: 0.0000 0.0000 0.0000 (multiplicity 3)
La: 0.0000 0.0000 0.5391 (multiplicity 3)
La: 0.0000 0.0000 0.7762 (multiplicity 3)
Cu: 0.0000 0.0000 0.2700 (multiplicity 3)

Offset from the most stable computed form ... 83 meV/atom
Crystal system ... trigonal
Total energy ... -3.94 eV per atom
Formation energy ... 0.2 eV per formula unit

=====

First-principles (PBE-GGA) data for crystalline LiTb2Ce at its relaxed geometry, as listed in Alexandria.

a = 3.4348 Å, b = 3.4348 Å, c = 33.9747 Å
α = 90.00°, β = 90.00°, γ = 120.00°
Space group R3m (No. 160, hexagonal axes)
Symmetry-distinct sites (fractional):
Li: 0.0000 0.0000 0.0000 (multiplicity 3)
Tb: 0.0000 0.0000 0.4149 (multiplicity 3)
Tb: 0.0000 0.0000 0.5855 (multiplicity 3)
Ce: 0.0000 0.0000 0.8336 (multiplicity 3)

Offset from the most stable computed form ... 29 meV/atom
Crystal system ... trigonal
Total energy ... -4.14 eV per atom
Formation energy ... 0.5 eV per formula unit

=====

First-principles (PBE-GGA) data for crystalline DyTm6Tl2 at its relaxed geometry, as listed in Alexandria.

a = 12.592 Å, b = 3.697 Å, c = 11.840 Å
α = 90.00°, β = 108.23°, γ = 90.00°
Space group C2/m (No. 12)
Symmetry-distinct sites (fractional):
Dy: 0.000 0.000 0.000 (multiplicity 2)
Tm: 0.013 0.000 0.345 (multiplicity 4)
Tm: 0.184 0.500 0.876 (multiplicity 4)
Tm: 0.188 0.500 0.582 (multiplicity 4)
Tl: 0.143 0.500 0.209 (multiplicity 4)

Crystal system ... monoclinic
Total energy ... -4.16 eV per atom
Formation energy ... -1.3 eV per formula unit

=====

First-principles (PBE-GGA) data for crystalline InTeAs3 at its relaxed geometry, as listed in Alexandria.

a = 5.362 Å, b = 5.362 Å, c = 5.362 Å
α = 90.00°, β = 90.00°, γ = 90.00°
Space group Pm-3m (No. 221)
Symmetry-distinct sites (fractional):
In: 0.000 0.000 0.000 (multiplicity 1)
Te: 0.500 0.500 0.500 (multiplicity 1)
As: 0.000 0.500 0.500 (multiplicity 3)

Offset from the most stable computed form ... 0 meV/atom
Crystal system ... cubic
Total energy ... -3.15 eV per atom
ΔE_f (raw) ... 0.8196 eV/atom

=====

First-principles (PBE-GGA) data for crystalline Na2MnVSe4 at its relaxed geometry, as listed in Alexandria.

a = 6.622 Å, b = 3.788 Å, c = 7.203 Å
α = 90.00°, β = 108.00°, γ = 90.00°
Space group P2/m (No. 10)
Symmetry-distinct sites (fractional):
Na: 0.000 0.000 0.000 (multiplicity 1)
Na: 0.500 0.500 0.000 (multiplicity 1)
Mn: 0.000 0.500 0.500 (multiplicity 1)
V: 0.500 0.000 0.500 (multiplicity 1)
Se: 0.234 0.000 0.701 (multiplicity 2)
Se: 0.271 0.500 0.295 (multiplicity 2)

Crystal system ... monoclinic
Total energy ... -5.16 eV per atom
ΔE_f (raw) ... -0.7991 eV/atom

=====

First-principles (PBE-GGA) data for crystalline Tb4Y5Ho3 at its relaxed geometry, as listed in Alexandria.

a = 16.101 Å, b = 5.872 Å, c = 9.259 Å
α = 90.00°, β = 116.46°, γ = 90.00°
Space group C2/m (No. 12)
Symmetry-distinct sites (fractional):
Tb: 0.082 0.000 0.442 (multiplicity 4)
Tb: 0.215 0.000 0.880 (multiplicity 4)
Y: 0.000 0.000 0.000 (multiplicity 2)
Y: 0.074 0.500 0.704 (multiplicity 4)
Y: 0.173 0.500 0.385 (multiplicity 4)
Ho: 0.000 0.500 0.000 (multiplicity 2)
Ho: 0.210 0.000 0.232 (multiplicity 4)

Offset from the most stable computed form ... 216 meV/atom
Crystal system ... monoclinic
Total energy ... -5.14 eV per atom
Formation energy ... 2.8 eV per formula unit

=====

First-principles (PBE-GGA) data for crystalline Sr2MgTa at its relaxed geometry, as listed in Alexandria.

a = 3.440 Å, b = 5.372 Å, c = 6.980 Å
α = 90.00°, β = 104.02°, γ = 90.00°
Space group Pm (No. 6)
Symmetry-distinct sites (fractional):
Sr: 0.000 0.000 0.000 (multiplicity 1)
Sr: 0.317 0.500 0.643 (multiplicity 1)
Mg: 0.708 0.000 0.423 (multiplicity 1)
Ta: 0.601 0.500 0.205 (multiplicity 1)

Crystal system ... monoclinic
Total energy ... -3.47 eV per atom
Formation energy ... 2.9 eV per formula unit

=====

Copy entry 9 word for word.
First-principles (PBE-GGA) data for crystalline InTeAs3 at its relaxed geometry, as listed in Alexandria.

a = 5.362 Å, b = 5.362 Å, c = 5.362 Å
α = 90.00°, β = 90.00°, γ = 90.00°
Space group Pm-3m (No. 221)
Symmetry-distinct sites (fractional):
In: 0.000 0.000 0.000 (multiplicity 1)
Te: 0.500 0.500 0.500 (multiplicity 1)
As: 0.000 0.500 0.500 (multiplicity 3)

Offset from the most stable computed form ... 0 meV/atom
Crystal system ... cubic
Total energy ... -3.15 eV per atom
ΔE_f (raw) ... 0.8196 eV/atom

=====

total energy of number 3 (Ce3B2C3)?
-7.49 eV per atom

=====

What did the fourth record say?
First-principles (PBE-GGA) data for crystalline SrMnOs2 at its relaxed geometry, as listed in Alexandria.

a = 6.424 Å, b = 6.424 Å, c = 6.424 Å
α = 90.00°, β = 90.00°, γ = 90.00°
Space group Fm-3m (No. 225)
Symmetry-distinct sites (fractional):
Sr: 0.000 0.000 0.000 (multiplicity 4)
Mn: 0.000 0.000 0.500 (multiplicity 4)
Os: 0.250 0.250 0.250 (multiplicity 8)

Offset from the most stable computed form ... 1054 meV/atom
Crystal system ... cubic
Total energy ... -7.00 eV per atom
Formation energy ... 5.3 eV per formula unit